# Y2CuTe GGA-PBE relaxed
# energy relative to the elements, uncorrected: -0.776 eV per atom
data_Y2CuTe
_chemical_formula_sum 'Y4 Cu2 Te2'
_cell_length_a 11.640
_cell_length_b 11.640
_cell_length_c 4.411
_cell_angle_alpha 90.00
_cell_angle_beta 90.00
_cell_angle_gamma 159.86
_symmetry_space_group_name_H-M 'P 1'
_symmetry_Int_Tables_number 1
loop_
_symmetry_equiv_pos_as_xyz
'x,y,z'
loop_
_atom_site_label
_atom_site_type_symbol
_atom_site_fract_x
_atom_site_fract_y
_atom_site_fract_z
_atom_site_occupancy
Y1 Y 0.059 0.941 0.750 1
Y2 Y 0.337 0.663 0.750 1
Y3 Y 0.663 0.337 0.250 1
Y4 Y 0.941 0.059 0.250 1
Cu1 Cu 0.467 0.533 0.750 1
Cu2 Cu 0.533 0.467 0.250 1
Te1 Te 0.196 0.804 0.750 1
Te2 Te 0.804 0.196 0.250 1

# Ba3Pu2NpO9 GGA-PBE relaxed
# energy relative to the elements, uncorrected: -2.976 eV per atom
data_Ba3Pu2NpO9
_chemical_formula_sum 'Ba3 Pu2 Np1 O9'
_cell_length_a 6.250
_cell_length_b 6.250
_cell_length_c 7.655
_cell_angle_alpha 90.00
_cell_angle_beta 90.00
_cell_angle_gamma 120.00
_symmetry_space_group_name_H-M 'P 1'
_symmetry_Int_Tables_number 1
loop_
_symmetry_equiv_pos_as_xyz
'x,y,z'
loop_
_atom_site_label
_atom_site_type_symbol
_atom_site_fract_x
_atom_site_fract_y
_atom_site_fract_z
_atom_site_occupancy
Ba1 Ba 0.000 0.000 0.000 1
Ba2 Ba 0.333 0.667 0.669 1
Ba3 Ba 0.667 0.333 0.331 1
Pu1 Pu 0.333 0.667 0.167 1
Pu2 Pu 0.667 0.333 0.833 1
Np1 Np 0.000 0.000 0.500 1
O1 O 0.000 0.500 0.000 1
O2 O 0.164 0.329 0.337 1
O3 O 0.164 0.836 0.337 1
O4 O 0.329 0.164 0.663 1
O5 O 0.500 0.000 0.000 1
O6 O 0.500 0.500 0.000 1
O7 O 0.671 0.836 0.337 1
O8 O 0.836 0.164 0.663 1
O9 O 0.836 0.671 0.663 1

# Cr2AgRh GGA-PBE relaxed
# energy relative to the elements: 295 meV/atom
data_Cr2AgRh
_chemical_formula_sum 'Cr2 Ag1 Rh1'
_cell_length_a 5.203
_cell_length_b 5.203
_cell_length_c 5.203
_cell_angle_alpha 147.28
_cell_angle_beta 128.61
_cell_angle_gamma 62.26
_symmetry_space_group_name_H-M 'P 1'
_symmetry_Int_Tables_number 1
loop_
_symmetry_equiv_pos_as_xyz
'x,y,z'
loop_
_atom_site_label
_atom_site_type_symbol
_atom_site_fract_x
_atom_site_fract_y
_atom_site_fract_z
_atom_site_occupancy
Cr1 Cr 0.000 0.000 0.000 1
Cr2 Cr 0.785 0.285 0.500 1
Ag1 Ag 0.517 0.517 0.000 1
Rh1 Rh 0.240 0.740 0.500 1

# TiGe2Se8 GGA-PBE relaxed
# energy relative to the elements, uncorrected: 0.008 eV per atom
data_TiGe2Se8
_chemical_formula_sum 'Ti1 Ge2 Se8'
_cell_length_a 7.157
_cell_length_b 7.157
_cell_length_c 6.998
_cell_angle_alpha 90.00
_cell_angle_beta 90.00
_cell_angle_gamma 120.00
_symmetry_space_group_name_H-M 'P 1'
_symmetry_Int_Tables_number 1
loop_
_symmetry_equiv_pos_as_xyz
'x,y,z'
loop_
_atom_site_label
_atom_site_type_symbol
_atom_site_fract_x
_atom_site_fract_y
_atom_site_fract_z
_atom_site_occupancy
Ti1 Ti 0.000 0.000 0.000 1
Ge1 Ge 0.333 0.667 0.331 1
Ge2 Ge 0.667 0.333 0.669 1
Se1 Se 0.140 0.281 0.264 1
Se2 Se 0.140 0.860 0.264 1
Se3 Se 0.281 0.140 0.736 1
Se4 Se 0.333 0.667 0.668 1
Se5 Se 0.667 0.333 0.332 1
Se6 Se 0.719 0.860 0.264 1
Se7 Se 0.860 0.140 0.736 1
Se8 Se 0.860 0.719 0.736 1

# Ta8Nb2Ru GGA-PBE relaxed
# energy relative to the elements: 145 meV/atom
# E above lowest polymorph: 82.1 meV per atom
data_Ta8Nb2Ru
_chemical_formula_sum 'Ta8 Nb2 Ru1'
_cell_length_a 5.561
_cell_length_b 5.561
_cell_length_c 7.681
_cell_angle_alpha 90.00
_cell_angle_beta 90.00
_cell_angle_gamma 120.00
_symmetry_space_group_name_H-M 'P 1'
_symmetry_Int_Tables_number 1
loop_
_symmetry_equiv_pos_as_xyz
'x,y,z'
loop_
_atom_site_label
_atom_site_type_symbol
_atom_site_fract_x
_atom_site_fract_y
_atom_site_fract_z
_atom_site_occupancy
Ta1 Ta 0.166 0.331 0.278 1
Ta2 Ta 0.166 0.834 0.278 1
Ta3 Ta 0.331 0.166 0.722 1
Ta4 Ta 0.333 0.667 0.939 1
Ta5 Ta 0.667 0.333 0.061 1
Ta6 Ta 0.669 0.834 0.278 1
Ta7 Ta 0.834 0.166 0.722 1
Ta8 Ta 0.834 0.669 0.722 1
Nb1 Nb 0.333 0.667 0.572 1
Nb2 Nb 0.667 0.333 0.428 1
Ru1 Ru 0.000 0.000 0.000 1

# Ce2AlF8 GGA-PBE relaxed
# energy relative to the elements, uncorrected: -3.515 eV per atom
data_Ce2AlF8
_chemical_formula_sum 'Ce2 Al1 F8'
_cell_length_a 7.318
_cell_length_b 7.318
_cell_length_c 5.048
_cell_angle_alpha 109.63
_cell_angle_beta 109.63
_cell_angle_gamma 33.52
_symmetry_space_group_name_H-M 'P 1'
_symmetry_Int_Tables_number 1
loop_
_symmetry_equiv_pos_as_xyz
'x,y,z'
loop_
_atom_site_label
_atom_site_type_symbol
_atom_site_fract_x
_atom_site_fract_y
_atom_site_fract_z
_atom_site_occupancy
Ce1 Ce 0.160 0.160 0.154 1
Ce2 Ce 0.840 0.840 0.846 1
Al1 Al 0.500 0.500 0.500 1
F1 F 0.002 0.002 0.737 1
F2 F 0.223 0.223 0.709 1
F3 F 0.394 0.394 0.171 1
F4 F 0.404 0.404 0.658 1
F5 F 0.596 0.596 0.342 1
F6 F 0.606 0.606 0.829 1
F7 F 0.777 0.777 0.291 1
F8 F 0.998 0.998 0.263 1

# Tb5Sm3Mg GGA-PBE relaxed
# energy relative to the elements: 612 meV/atom
data_Tb5Sm3Mg
_chemical_formula_sum 'Tb10 Sm6 Mg2'
_cell_length_a 9.124
_cell_length_b 9.124
_cell_length_c 9.419
_cell_angle_alpha 113.69
_cell_angle_beta 113.69
_cell_angle_gamma 77.52
_symmetry_space_group_name_H-M 'P 1'
_symmetry_Int_Tables_number 1
loop_
_symmetry_equiv_pos_as_xyz
'x,y,z'
loop_
_atom_site_label
_atom_site_type_symbol
_atom_site_fract_x
_atom_site_fract_y
_atom_site_fract_z
_atom_site_occupancy
Tb1 Tb 0.059 0.059 0.379 1
Tb2 Tb 0.089 0.564 0.348 1
Tb3 Tb 0.244 0.756 0.000 1
Tb4 Tb 0.325 0.325 0.604 1
Tb5 Tb 0.436 0.911 0.652 1
Tb6 Tb 0.564 0.089 0.348 1
Tb7 Tb 0.675 0.675 0.396 1
Tb8 Tb 0.756 0.244 0.000 1
Tb9 Tb 0.911 0.436 0.652 1
Tb10 Tb 0.941 0.941 0.621 1
Sm1 Sm 0.142 0.142 0.121 1
Sm2 Sm 0.197 0.197 0.801 1
Sm3 Sm 0.500 0.500 0.000 1
Sm4 Sm 0.500 0.500 0.500 1
Sm5 Sm 0.803 0.803 0.199 1
Sm6 Sm 0.858 0.858 0.879 1
Mg1 Mg 0.369 0.369 0.153 1
Mg2 Mg 0.631 0.631 0.847 1

# LaTb2Sm2Dy GGA-PBE relaxed
# energy relative to the elements: 270 meV/atom
data_LaTb2Sm2Dy
_chemical_formula_sum 'La2 Tb4 Sm4 Dy2'
_cell_length_a 6.801
_cell_length_b 17.617
_cell_length_c 3.387
_cell_angle_alpha 90.00
_cell_angle_beta 90.00
_cell_angle_gamma 90.00
_symmetry_space_group_name_H-M 'P 1'
_symmetry_Int_Tables_number 1
loop_
_symmetry_equiv_pos_as_xyz
'x,y,z'
loop_
_atom_site_label
_atom_site_type_symbol
_atom_site_fract_x
_atom_site_fract_y
_atom_site_fract_z
_atom_site_occupancy
La1 La 0.000 0.000 0.000 1
La2 La 0.500 0.500 0.500 1
Tb1 Tb 0.244 0.338 0.500 1
Tb2 Tb 0.256 0.838 0.000 1
Tb3 Tb 0.744 0.162 0.000 1
Tb4 Tb 0.756 0.662 0.500 1
Sm1 Sm 0.248 0.667 0.500 1
Sm2 Sm 0.252 0.167 0.000 1
Sm3 Sm 0.748 0.833 0.000 1
Sm4 Sm 0.752 0.333 0.500 1
Dy1 Dy 0.000 0.500 0.000 1
Dy2 Dy 0.500 0.000 0.500 1

# Cr2SbOs GGA-PBE relaxed
# energy relative to the elements, uncorrected: 0.356 eV per atom
data_Cr2SbOs
_chemical_formula_sum 'Cr2 Sb1 Os1'
_cell_length_a 4.761
_cell_length_b 4.761
_cell_length_c 4.761
_cell_angle_alpha 130.74
_cell_angle_beta 130.74
_cell_angle_gamma 72.22
_symmetry_space_group_name_H-M 'P 1'
_symmetry_Int_Tables_number 1
loop_
_symmetry_equiv_pos_as_xyz
'x,y,z'
loop_
_atom_site_label
_atom_site_type_symbol
_atom_site_fract_x
_atom_site_fract_y
_atom_site_fract_z
_atom_site_occupancy
Cr1 Cr 0.250 0.750 0.500 1
Cr2 Cr 0.750 0.250 0.500 1
Sb1 Sb 0.000 0.000 0.000 1
Os1 Os 0.500 0.500 0.000 1

# PmDy2InN4 GGA-PBE relaxed
# energy relative to the elements, uncorrected: -1.108 eV per atom
data_PmDy2InN4
_chemical_formula_sum 'Pm1 Dy2 In1 N4'
_cell_length_a 6.031
_cell_length_b 3.490
_cell_length_c 6.075
_cell_angle_alpha 90.00
_cell_angle_beta 110.61
_cell_angle_gamma 90.00
_symmetry_space_group_name_H-M 'P 1'
_symmetry_Int_Tables_number 1
loop_
_symmetry_equiv_pos_as_xyz
'x,y,z'
loop_
_atom_site_label
_atom_site_type_symbol
_atom_site_fract_x
_atom_site_fract_y
_atom_site_fract_z
_atom_site_occupancy
Pm1 Pm 0.000 0.000 0.000 1
Dy1 Dy 0.000 0.500 0.500 1
Dy2 Dy 0.500 0.000 0.500 1
In1 In 0.500 0.500 0.000 1
N1 N 0.247 0.500 0.266 1
N2 N 0.254 0.000 0.748 1
N3 N 0.746 0.000 0.252 1
N4 N 0.753 0.500 0.734 1

# LiOsBr2 GGA-PBE relaxed
# E above lowest polymorph: 1055.2 meV per atom
# energy relative to the elements, uncorrected: 1.140 eV per atom
data_LiOsBr2
_chemical_formula_sum 'Li1 Os1 Br2'
_cell_length_a 4.935
_cell_length_b 4.935
_cell_length_c 4.935
_cell_angle_alpha 60.00
_cell_angle_beta 60.00
_cell_angle_gamma 60.00
_symmetry_space_group_name_H-M 'P 1'
_symmetry_Int_Tables_number 1
loop_
_symmetry_equiv_pos_as_xyz
'x,y,z'
loop_
_atom_site_label
_atom_site_type_symbol
_atom_site_fract_x
_atom_site_fract_y
_atom_site_fract_z
_atom_site_occupancy
Li1 Li 0.000 0.000 0.000 1
Os1 Os 0.750 0.750 0.750 1
Br1 Br 0.250 0.250 0.250 1
Br2 Br 0.500 0.500 0.500 1

# Ho3ErHg4 GGA-PBE relaxed
# energy relative to the elements: -279 meV/atom
# E above lowest polymorph: 200.3 meV per atom
data_Ho3ErHg4
_chemical_formula_sum 'Ho3 Er1 Hg4'
_cell_length_a 7.545
_cell_length_b 7.545
_cell_length_c 5.956
_cell_angle_alpha 106.69
_cell_angle_beta 106.69
_cell_angle_gamma 41.03
_symmetry_space_group_name_H-M 'P 1'
_symmetry_Int_Tables_number 1
loop_
_symmetry_equiv_pos_as_xyz
'x,y,z'
loop_
_atom_site_label
_atom_site_type_symbol
_atom_site_fract_x
_atom_site_fract_y
_atom_site_fract_z
_atom_site_occupancy
Ho1 Ho 0.000 0.000 0.000 1
Ho2 Ho 0.167 0.167 0.580 1
Ho3 Ho 0.833 0.833 0.420 1
Er1 Er 0.500 0.500 0.500 1
Hg1 Hg 0.260 0.260 0.172 1
Hg2 Hg 0.388 0.388 0.851 1
Hg3 Hg 0.612 0.612 0.149 1
Hg4 Hg 0.740 0.740 0.828 1

# Ca2BeBr GGA-PBE relaxed
# E above lowest polymorph: 301.3 meV per atom
# energy relative to the elements, uncorrected: -0.159 eV per atom
data_Ca2BeBr
_chemical_formula_sum 'Ca2 Be1 Br1'
_cell_length_a 5.702
_cell_length_b 5.702
_cell_length_c 5.702
_cell_angle_alpha 136.51
_cell_angle_beta 114.31
_cell_angle_gamma 82.12
_symmetry_space_group_name_H-M 'P 1'
_symmetry_Int_Tables_number 1
loop_
_symmetry_equiv_pos_as_xyz
'x,y,z'
loop_
_atom_site_label
_atom_site_type_symbol
_atom_site_fract_x
_atom_site_fract_y
_atom_site_fract_z
_atom_site_occupancy
Ca1 Ca 0.247 0.247 0.000 1
Ca2 Ca 0.753 0.753 0.000 1
Be1 Be 0.500 0.000 0.500 1
Br1 Br 0.000 0.500 0.500 1

# TbHoAg2Se4 GGA-PBE relaxed
# energy relative to the elements, uncorrected: -1.165 eV per atom
data_TbHoAg2Se4
_chemical_formula_sum 'Tb1 Ho1 Ag2 Se4'
_cell_length_a 6.891
_cell_length_b 4.177
_cell_length_c 7.229
_cell_angle_alpha 90.00
_cell_angle_beta 110.08
_cell_angle_gamma 90.00
_symmetry_space_group_name_H-M 'P 1'
_symmetry_Int_Tables_number 1
loop_
_symmetry_equiv_pos_as_xyz
'x,y,z'
loop_
_atom_site_label
_atom_site_type_symbol
_atom_site_fract_x
_atom_site_fract_y
_atom_site_fract_z
_atom_site_occupancy
Tb1 Tb 0.000 0.000 0.000 1
Ho1 Ho 0.000 0.500 0.500 1
Ag1 Ag 0.500 0.000 0.500 1
Ag2 Ag 0.500 0.500 0.000 1
Se1 Se 0.245 0.000 0.745 1
Se2 Se 0.246 0.500 0.249 1
Se3 Se 0.754 0.500 0.751 1
Se4 Se 0.755 0.000 0.255 1

# Cr2PdN GGA-PBE relaxed
# energy relative to the elements, uncorrected: -0.220 eV per atom
data_Cr2PdN
_chemical_formula_sum 'Cr2 Pd1 N1'
_cell_length_a 6.609
_cell_length_b 6.609
_cell_length_c 6.609
_cell_angle_alpha 25.09
_cell_angle_beta 25.09
_cell_angle_gamma 25.09
_symmetry_space_group_name_H-M 'P 1'
_symmetry_Int_Tables_number 1
loop_
_symmetry_equiv_pos_as_xyz
'x,y,z'
loop_
_atom_site_label
_atom_site_type_symbol
_atom_site_fract_x
_atom_site_fract_y
_atom_site_fract_z
_atom_site_occupancy
Cr1 Cr 0.000 0.000 0.000 1
Cr2 Cr 0.226 0.226 0.226 1
Pd1 Pd 0.446 0.446 0.446 1
N1 N 0.612 0.612 0.612 1

# Ce3NiOs GGA-PBE relaxed
# energy relative to the elements: -196 meV/atom
# E above lowest polymorph: 0.0 meV per atom
data_Ce3NiOs
_chemical_formula_sum 'Ce6 Ni2 Os2'
_cell_length_a 6.444
_cell_length_b 3.811
_cell_length_c 9.412
_cell_angle_alpha 90.00
_cell_angle_beta 90.01
_cell_angle_gamma 90.00
_symmetry_space_group_name_H-M 'P 1'
_symmetry_Int_Tables_number 1
loop_
_symmetry_equiv_pos_as_xyz
'x,y,z'
loop_
_atom_site_label
_atom_site_type_symbol
_atom_site_fract_x
_atom_site_fract_y
_atom_site_fract_z
_atom_site_occupancy
Ce1 Ce 0.232 0.250 0.250 1
Ce2 Ce 0.264 0.750 0.556 1
Ce3 Ce 0.264 0.750 0.944 1
Ce4 Ce 0.736 0.250 0.056 1
Ce5 Ce 0.736 0.250 0.444 1
Ce6 Ce 0.768 0.750 0.750 1
Ni1 Ni 0.061 0.250 0.750 1
Ni2 Ni 0.939 0.750 0.250 1
Os1 Os 0.473 0.250 0.750 1
Os2 Os 0.527 0.750 0.250 1

# InSn3Mo GGA-PBE relaxed
# energy relative to the elements: 287 meV/atom
# E above lowest polymorph: 0.0 meV per atom
data_InSn3Mo
_chemical_formula_sum 'In1 Sn3 Mo1'
_cell_length_a 5.296
_cell_length_b 5.296
_cell_length_c 5.296
_cell_angle_alpha 90.00
_cell_angle_beta 90.00
_cell_angle_gamma 90.00
_symmetry_space_group_name_H-M 'P 1'
_symmetry_Int_Tables_number 1
loop_
_symmetry_equiv_pos_as_xyz
'x,y,z'
loop_
_atom_site_label
_atom_site_type_symbol
_atom_site_fract_x
_atom_site_fract_y
_atom_site_fract_z
_atom_site_occupancy
In1 In 0.000 0.000 0.000 1
Sn1 Sn 0.000 0.500 0.500 1
Sn2 Sn 0.500 0.000 0.500 1
Sn3 Sn 0.500 0.500 0.000 1
Mo1 Mo 0.500 0.500 0.500 1